A plane-wave DFT calculation with GGA-PBE was carried out for a relaxed CaTlSi3 crystal.

For the excess energy over the best structure of this formula in the dataset, the calculation gives 249 meV/atom.

The space group is Pm-3m (No. 221) and the conventional cell measures 5.387, 5.387 and 5.387 Å, with angles of 90.00, 90.00 and 90.00 degrees. Symmetry generates all atoms from Ca at (0.000, 0.000, 0.000), Tl at (0.500, 0.500, 0.500) and Si at (0.000, 0.000, 0.500).

=====

A plane-wave DFT calculation with GGA-PBE was carried out for a relaxed CaTlSi4 crystal.

Its final energy is -4.2384 eV per atom.

The space group is F-43m (No. 216) and the conventional cell measures 7.682, 7.682 and 7.682 Å, with angles of 90.00, 90.00 and 90.00 degrees. Symmetry generates all atoms from Ca at (0.000, 0.000, 0.000), Tl at (0.250, 0.250, 0.250) and Si at (0.126, 0.126, 0.626).

=====

The records above yield DOS(E_F) values of 4.92 10.49 states/eV per cell, respectively.